# ScRuAu, relaxed, DFT PBE
data_ScRuAu
_symmetry_space_group_name_H-M 'C 1 2/m 1'
_symmetry_Int_Tables_number 12
_cell_length_a 10.2313
_cell_length_b 3.1265
_cell_length_c 6.9589
_cell_angle_alpha 90.00
_cell_angle_beta 99.79
_cell_angle_gamma 90.00
loop_
_symmetry_equiv_pos_as_xyz
'x,y,z'
'-x,-y,-z'
'-x,y,-z'
'x,-y,z'
'x+1/2,y+1/2,z'
'-x+1/2,-y+1/2,-z'
'-x+1/2,y+1/2,-z'
'x+1/2,-y+1/2,z'
loop_
_atom_site_label
_atom_site_type_symbol
_atom_site_fract_x
_atom_site_fract_y
_atom_site_fract_z
_atom_site_occupancy
Sc1 Sc 0.0582 0.0000 0.2342 1
Ru1 Ru 0.1444 0.5000 0.9678 1
Au1 Au 0.1973 0.0000 0.6432 1
# Uncorrected energy = -6.6225 eV per atom

# ScRu2Au, relaxed, DFT PBE
data_ScRu2Au
_symmetry_space_group_name_H-M 'R -3 m'
_symmetry_Int_Tables_number 166
_symmetry_space_group_name_Hall '-R 3 2"'
_cell_length_a 2.9224
_cell_length_b 2.9224
_cell_length_c 26.7929
_cell_angle_alpha 90.00
_cell_angle_beta 90.00
_cell_angle_gamma 120.00
loop_
_atom_site_label
_atom_site_type_symbol
_atom_site_fract_x
_atom_site_fract_y
_atom_site_fract_z
_atom_site_occupancy
Sc1 Sc 0.0000 0.0000 0.0000 1
Ru1 Ru 0.0000 0.0000 0.2532 1
Au1 Au 0.0000 0.0000 0.5000 1
# Uncorrected energy = -6.8449 eV per atom

# ScRu2Au, relaxed, DFT PBE
data_ScRu2Au
_symmetry_space_group_name_H-M 'F m -3 m'
_symmetry_Int_Tables_number 225
_symmetry_space_group_name_Hall '-F 4 2 3'
_cell_length_a 6.3855
_cell_length_b 6.3855
_cell_length_c 6.3855
_cell_angle_alpha 90.00
_cell_angle_beta 90.00
_cell_angle_gamma 90.00
loop_
_atom_site_label
_atom_site_type_symbol
_atom_site_fract_x
_atom_site_fract_y
_atom_site_fract_z
_atom_site_occupancy
Sc1 Sc 0.0000 0.0000 0.0000 1
Ru1 Ru 0.2500 0.2500 0.2500 1
Au1 Au 0.0000 0.0000 0.5000 1
# Uncorrected energy = -7.0047 eV per atom